Record 1
Density functional theory data (GGA-PBEsol) for a geometry-optimized YCrTe2I structure.

Properties
Energy relative to the elements, uncorrected   -138 meV per atom
Space group   P4/mmm
ρ   6391 kg/m³

Cell: 4.8764 4.8764 5.7145 Å, 90.00 90.00 90.00°
Last column: nearest neighbours and their distance in Å.
Fractional positions:
Y: 0.0000 0.0000 0.0000  2 Cr 2.86
Cr: 0.0000 0.0000 0.5000  4 Te 2.44
Te: 0.0000 0.5000 0.5000  2 Cr 2.44
Te: 0.5000 0.0000 0.5000  2 Cr 2.44
I: 0.5000 0.5000 0.0000  4 Y 3.45, 8 Te 3.76

---

Record 2
Density functional theory data (GGA-PBEsol) for a geometry-optimized ZnCrTe2I structure.

Properties
Energy relative to the elements, uncorrected   408 meV per atom
Space group   P4/mmm
ρ   5793 kg/m³

Cell: 5.0860 5.0860 5.5351 Å, 90.00 90.00 90.00°
Last column: nearest neighbours and their distance in Å.
Fractional positions:
Zn: 0.0000 0.0000 0.0000  4 I 3.60, 8 Te 3.76
Cr: 0.5000 0.5000 0.5000  4 Te 2.54, 2 I 2.77
Te: 0.0000 0.5000 0.5000  2 Cr 2.54
Te: 0.5000 0.0000 0.5000  2 Cr 2.54
I: 0.5000 0.5000 0.0000  2 Cr 2.77

---

Record 3
Density functional theory data (GGA-PBEsol) for a geometry-optimized CrW2I2 structure.

Properties
Energy relative to the elements, uncorrected   1568 meV per atom
Space group   I4/mmm
ρ   9978 kg/m³

Cell: 5.5477 5.5477 5.5477 Å, 124.22 124.22 82.84°
Last column: nearest neighbours and their distance in Å.
Fractional positions:
Cr: 0.0000 0.0000 0.0000  2 W 2.99, 8 I 3.33
W: 0.3598 0.3598 0.0000  1 W 2.33
W: 0.6402 0.6402 0.0000  1 W 2.33
I: 0.2500 0.7500 0.5000  4 W 2.75
I: 0.7500 0.2500 0.5000  4 W 2.75

---

Record 4
Density functional theory data (GGA-PBEsol) for a geometry-optimized Y2CrI structure.

Properties
Energy relative to the elements, uncorrected   192 meV per atom
Space group   Fm-3m
ρ   5815 kg/m³

Cell: 5.2422 5.2422 5.2422 Å, 60.00 60.00 60.00°
Last column: nearest neighbours and their distance in Å.
Fractional positions:
Y: 0.2500 0.2500 0.2500  4 Cr 3.21, 4 I 3.21
Y: 0.7500 0.7500 0.7500  4 I 3.21, 4 Cr 3.21
Cr: 0.0000 0.0000 0.0000  8 Y 3.21
I: 0.5000 0.5000 0.5000  8 Y 3.21

---

Record 5
Density functional theory data (GGA-PBEsol) for a geometry-optimized YCr2I structure.

Properties
Energy relative to the elements, uncorrected   868 meV per atom
Space group   Fm-3m
ρ   7914 kg/m³

Cell: 4.5612 4.5612 4.5612 Å, 60.00 60.00 60.00°
Last column: nearest neighbours and their distance in Å.
Fractional positions:
Y: 0.0000 0.0000 0.0000  8 Cr 2.79
Cr: 0.2500 0.2500 0.2500  4 I 2.79, 4 Y 2.79
Cr: 0.7500 0.7500 0.7500  4 I 2.79, 4 Y 2.79
I: 0.5000 0.5000 0.5000  8 Cr 2.79

---

Record 6
Density functional theory data (GGA-PBEsol) for a geometry-optimized ZnCr2I2 structure.

Properties
Energy relative to the elements, uncorrected   645 meV per atom
Space group   I4/mmm
ρ   6592 kg/m³

Cell: 5.3101 5.3101 5.3101 Å, 119.54 119.54 90.80°
Last column: nearest neighbours and their distance in Å.
Fractional positions:
Zn: 0.0000 0.0000 0.0000  2 Cr 2.85
Cr: 0.3827 0.3827 0.0000  1 Cr 1.75
Cr: 0.6173 0.6173 0.0000  1 Cr 1.75
I: 0.2500 0.7500 0.5000  4 Cr 2.85
I: 0.7500 0.2500 0.5000  4 Cr 2.85

---

Record 7
Density functional theory data (GGA-PBEsol) for a geometry-optimized ZrCr3I structure.

Properties
Energy relative to the elements, uncorrected   1799 meV per atom
Space group   Pm-3m
ρ   5383 kg/m³

Cell: 4.8686 4.8686 4.8686 Å, 90.00 90.00 90.00°
Last column: nearest neighbours and their distance in Å.
Fractional positions:
Zr: 0.0000 0.0000 0.0000  6 Cr 2.43
Cr: 0.0000 0.0000 0.5000  2 Zr 2.43
Cr: 0.0000 0.5000 0.0000  2 Zr 2.43
Cr: 0.5000 0.0000 0.0000  2 Zr 2.43
I: 0.5000 0.5000 0.5000  12 Cr 3.44

---

Record 8
Density functional theory data (GGA-PBEsol) for a geometry-optimized CrInIr4 structure.

Properties
Space group   F-43m
ΔE_f   2.22 eV/f.u.
ρ   16080 kg/m³

Cell: 5.1507 5.1507 5.1507 Å, 60.00 60.00 60.00°
Last column: nearest neighbours and their distance in Å.
Fractional positions:
Cr: 0.0000 0.0000 0.0000  12 Ir 3.02, 4 In 3.15
In: 0.7500 0.7500 0.7500  12 Ir 3.02, 4 Cr 3.15
Ir: 0.3748 0.3748 0.3748  6 Ir 2.57-2.58
Ir: 0.3748 0.3748 0.8755  6 Ir 2.57-2.58
Ir: 0.3748 0.8755 0.3748  6 Ir 2.57-2.58
Ir: 0.8755 0.3748 0.3748  6 Ir 2.57-2.58

---

no.,volume (Å³ per cell)
1,135.89
2,143.18
3,112.08
4,101.86
5,67.10
6,106.61
7,115.40
8,96.63